Entry 1:
Material: Ce3Be2Ge6
Method: DFT, PBE
State: relaxed

As for the final energy: -5.21 eV/atom. The calculation puts the density of states at the Fermi level at 12.66 states/eV/f.u. Its crystal system is tetragonal. The formation energy from the elements is -4.39 eV/f.u. Its total magnetization is 0.844 Bohr magnetons per cell.

It has space group I4/mmm (No. 139), with a = 4.094 Å, b = 4.094 Å, c = 26.816 Å, α = 90.00°, β = 90.00° and γ = 90.00°. The inequivalent atoms are Ce at (0.000, 0.000, 0.000), Ce at (0.000, 0.000, 0.174), Be at (0.000, 0.000, 0.364), Ge at (0.000, 0.000, 0.281) and Ge at (0.000, 0.500, 0.085).

***

Entry 2:
Material: Ce3BeGe3
Method: DFT, PBE
State: relaxed

As for the final energy: -5.67 eV/atom. The calculation puts the density of states at the Fermi level at 11.75 states/eV/f.u. Its crystal system is monoclinic. The formation energy from the elements is -4.32 eV/f.u. Its total magnetization is 6.725 Bohr magnetons per cell.

It has space group C2/m (No. 12), with a = 10.814 Å, b = 4.111 Å, c = 14.533 Å, α = 90.00°, β = 108.96° and γ = 90.00°. The inequivalent atoms are Ce at (0.032, 0.000, 0.228), Ce at (0.098, 0.500, 0.594), Ce at (0.182, 0.000, 0.096), Be at (0.190, 0.500, 0.396), Ge at (0.056, 0.500, 0.935), Ge at (0.129, 0.000, 0.446) and Ge at (0.239, 0.000, 0.741).

***

Entry 3:
Material: CeBeGeH
Method: DFT, PBE
State: relaxed

As for the final energy: -5.03 eV/atom. The calculation puts the density of states at the Fermi level at 5.16 states/eV/f.u. Its crystal system is trigonal. Its total magnetization is 0.790 Bohr magnetons per cell.

It has space group P3m1 (No. 156), with a = 3.9984 Å, b = 3.9984 Å, c = 4.2172 Å, α = 90.00°, β = 90.00° and γ = 120.00°. The inequivalent atoms are Ce at (0.0000, 0.0000, 0.0000), Be at (0.6667, 0.3333, 0.5310), Ge at (0.3333, 0.6667, 0.4741) and H at (0.6667, 0.3333, 0.8968).

***

Entry 4:
Material: Ce2Be3GeIr4
Method: DFT, PBE
State: relaxed

As for the final energy: -6.96 eV/atom. The calculation puts the density of states at the Fermi level at 10.93 states/eV/f.u. Its crystal system is tetragonal. The formation energy from the elements is -6.49 eV/f.u. Its total magnetization is 0.003 Bohr magnetons per cell.

It has space group P-4m2 (No. 115), with a = 4.109 Å, b = 4.109 Å, c = 9.548 Å, α = 90.00°, β = 90.00° and γ = 90.00°. The inequivalent atoms are Ce at (0.000, 0.500, 0.233), Be at (0.000, 0.500, 0.887), Be at (0.500, 0.500, 0.500), Ge at (0.000, 0.000, 0.500), Ir at (0.000, 0.000, 0.000), Ir at (0.000, 0.500, 0.640) and Ir at (0.500, 0.500, 0.000).

***

Entry 5:
Material: Ce2Be3Ge4Ir
Method: DFT, PBE
State: relaxed

As for the final energy: -5.49 eV/atom. The calculation puts the density of states at the Fermi level at 6.73 states/eV/f.u. Its crystal system is tetragonal. The formation energy from the elements is -4.57 eV/f.u. Its total magnetization is 0.002 Bohr magnetons per cell.

It has space group P-4m2 (No. 115), with a = 4.136 Å, b = 4.136 Å, c = 9.703 Å, α = 90.00°, β = 90.00° and γ = 90.00°. The inequivalent atoms are Ce at (0.000, 0.500, 0.249), Be at (0.000, 0.500, 0.876), Be at (0.500, 0.500, 0.500), Ge at (0.000, 0.000, 0.000), Ge at (0.000, 0.500, 0.641), Ge at (0.500, 0.500, 0.000) and Ir at (0.000, 0.000, 0.500).

***

Entry 6:
Material: Ce2BeGeIr6
Method: DFT, PBE
State: relaxed

As for the final energy: -7.72 eV/atom. The calculation puts the density of states at the Fermi level at 5.81 states/eV/f.u. Its crystal system is triclinic. The formation energy from the elements is -3.81 eV/f.u. Its total magnetization is 0.000 Bohr magnetons per cell.

It has space group P-1 (No. 2), with a = 5.587 Å, b = 5.588 Å, c = 7.142 Å, α = 68.78°, β = 68.72° and γ = 61.57°. The inequivalent atoms are Ce at (0.221, 0.222, 0.346), Be at (0.000, 0.000, 0.000), Ge at (0.500, 0.500, 0.500), Ir at (0.235, 0.233, 0.777), Ir at (0.237, 0.705, 0.810) and Ir at (0.293, 0.764, 0.191).

***

Entry 7:
Material: Ce2BeGe6Ir
Method: DFT, PBE
State: relaxed

As for the final energy: -5.54 eV/atom. The calculation puts the density of states at the Fermi level at 9.14 states/eV/f.u. Its crystal system is orthorhombic. The formation energy from the elements is -3.27 eV/f.u. Its total magnetization is 1.555 Bohr magnetons per cell.

It has space group Pmmn (No. 59, origin choice 2), with a = 6.653 Å, b = 8.670 Å, c = 6.769 Å, α = 90.00°, β = 90.00° and γ = 90.00°. The inequivalent atoms are Ce at (0.250, 0.003, 0.236), Be at (0.250, 0.250, 0.915), Ge at (0.055, 0.750, 0.941), Ge at (0.057, 0.250, 0.585), Ge at (0.250, 0.010, 0.760) and Ir at (0.250, 0.750, 0.602).

***

Entry 8:
Material: Ce2BeGe4Ir3
Method: DFT, PBE
State: relaxed

As for the final energy: -6.71 eV/atom. The calculation puts the density of states at the Fermi level at 8.47 states/eV/f.u. Its crystal system is tetragonal. The formation energy from the elements is -6.47 eV/f.u. Its total magnetization is 0.002 Bohr magnetons per cell.

It has space group P-4m2 (No. 115), with a = 4.220 Å, b = 4.220 Å, c = 10.174 Å, α = 90.00°, β = 90.00° and γ = 90.00°. The inequivalent atoms are Ce at (0.000, 0.500, 0.248), Be at (0.500, 0.500, 0.000), Ge at (0.000, 0.000, 0.500), Ge at (0.000, 0.500, 0.871), Ge at (0.500, 0.500, 0.500), Ir at (0.000, 0.000, 0.000) and Ir at (0.000, 0.500, 0.630).

***

Entry 9:
Material: LiCe2Be3Ge4
Method: DFT, PBE
State: relaxed

As for the final energy: -4.76 eV/atom. The calculation puts the density of states at the Fermi level at 11.80 states/eV/f.u. Its crystal system is tetragonal. The formation energy from the elements is -4.16 eV/f.u. Its total magnetization is 1.358 Bohr magnetons per cell.

It has space group P-4m2 (No. 115), with a = 4.175 Å, b = 4.175 Å, c = 9.551 Å, α = 90.00°, β = 90.00° and γ = 90.00°. The inequivalent atoms are Li at (0.000, 0.000, 0.000), Ce at (0.000, 0.500, 0.746), Be at (0.000, 0.500, 0.376), Be at (0.500, 0.500, 0.000), Ge at (0.000, 0.000, 0.500), Ge at (0.000, 0.500, 0.138) and Ge at (0.500, 0.500, 0.500).

***

Entry 10:
Material: LiCeBeGe2
Method: DFT, PBE
State: relaxed

As for the final energy: -4.60 eV/atom. The calculation puts the density of states at the Fermi level at 5.47 states/eV/f.u. Its crystal system is tetragonal. The formation energy from the elements is -2.21 eV/f.u. Its total magnetization is 1.666 Bohr magnetons per cell.

It has space group I-4m2 (No. 119), with a = 4.088 Å, b = 4.088 Å, c = 10.320 Å, α = 90.00°, β = 90.00° and γ = 90.00°. The inequivalent atoms are Li at (0.000, 0.000, 0.000), Ce at (0.000, 0.500, 0.250), Be at (0.000, 0.000, 0.500) and Ge at (0.000, 0.500, 0.627).

***

Entry 11:
Material: Ce2MgBe3Ge4
Method: DFT, PBE
State: relaxed

As for the final energy: -4.65 eV/atom. The calculation puts the density of states at the Fermi level at 13.98 states/eV/f.u. Its crystal system is tetragonal. The formation energy from the elements is -3.42 eV/f.u. Its total magnetization is 1.961 Bohr magnetons per cell.

It has space group P-4m2 (No. 115), with a = 4.189 Å, b = 4.189 Å, c = 9.995 Å, α = 90.00°, β = 90.00° and γ = 90.00°. The inequivalent atoms are Ce at (0.000, 0.500, 0.233), Mg at (0.000, 0.000, 0.500), Be at (0.000, 0.500, 0.884), Be at (0.500, 0.500, 0.500), Ge at (0.000, 0.000, 0.000), Ge at (0.000, 0.500, 0.653) and Ge at (0.500, 0.500, 0.000).

***

Entry 12:
Material: Ce2MnBeGe6
Method: DFT, PBE
State: relaxed

As for the final energy: -5.53 eV/atom. The calculation puts the density of states at the Fermi level at 9.89 states/eV/f.u. Its crystal system is orthorhombic. The formation energy from the elements is -2.79 eV/f.u. Its total magnetization is 0.767 Bohr magnetons per cell.

It has space group Pmmn (No. 59, origin choice 2), with a = 6.442 Å, b = 8.590 Å, c = 6.804 Å, α = 90.00°, β = 90.00° and γ = 90.00°. The inequivalent atoms are Ce at (0.250, 0.001, 0.243), Mn at (0.250, 0.750, 0.609), Be at (0.250, 0.250, 0.898), Ge at (0.052, 0.250, 0.570), Ge at (0.053, 0.750, 0.932) and Ge at (0.250, 0.005, 0.752).

***

Entry 13:
Material: Ce2Be3NiGe4
Method: DFT, PBE
State: relaxed

As for the final energy: -5.20 eV/atom. The calculation puts the density of states at the Fermi level at 7.24 states/eV/f.u. Its crystal system is tetragonal. The formation energy from the elements is -4.68 eV/f.u. Its total magnetization is 0.595 Bohr magnetons per cell.

It has space group P-4m2 (No. 115), with a = 4.133 Å, b = 4.133 Å, c = 9.436 Å, α = 90.00°, β = 90.00° and γ = 90.00°. The inequivalent atoms are Ce at (0.000, 0.500, 0.245), Be at (0.000, 0.000, 0.000), Be at (0.000, 0.500, 0.627), Ni at (0.500, 0.500, 0.000), Ge at (0.000, 0.000, 0.500), Ge at (0.000, 0.500, 0.869) and Ge at (0.500, 0.500, 0.500).

***

Entry 14:
Material: Ce2BeNi3Ge4
Method: DFT, PBE
State: relaxed

As for the final energy: -5.78 eV/atom. The calculation puts the density of states at the Fermi level at 6.34 states/eV/f.u. Its crystal system is tetragonal. The formation energy from the elements is -6.43 eV/f.u. Its total magnetization is 0.000 Bohr magnetons per cell.

It has space group P-4m2 (No. 115), with a = 4.110 Å, b = 4.110 Å, c = 9.697 Å, α = 90.00°, β = 90.00° and γ = 90.00°. The inequivalent atoms are Ce at (0.000, 0.500, 0.247), Be at (0.500, 0.500, 0.000), Ni at (0.000, 0.000, 0.000), Ni at (0.000, 0.500, 0.627), Ge at (0.000, 0.000, 0.500), Ge at (0.000, 0.500, 0.871) and Ge at (0.500, 0.500, 0.500).

***

Entry 15:
Material: Ce2BeNi4Ge3
Method: DFT, PBE
State: relaxed

As for the final energy: -5.86 eV/atom. The calculation puts the density of states at the Fermi level at 11.94 states/eV/f.u. Its crystal system is tetragonal. The formation energy from the elements is -6.03 eV/f.u. Its total magnetization is 0.001 Bohr magnetons per cell.

It has space group P-4m2 (No. 115), with a = 4.055 Å, b = 4.055 Å, c = 9.671 Å, α = 90.00°, β = 90.00° and γ = 90.00°. The inequivalent atoms are Ce at (0.000, 0.500, 0.245), Be at (0.500, 0.500, 0.000), Ni at (0.000, 0.000, 0.500), Ni at (0.000, 0.500, 0.878), Ni at (0.500, 0.500, 0.500), Ge at (0.000, 0.000, 0.000) and Ge at (0.000, 0.500, 0.632).

***

Entry 16:
Material: Ce2Be3Ge4Os
Method: DFT, PBE
State: relaxed

As for the final energy: -5.61 eV/atom. The calculation puts the density of states at the Fermi level at 9.19 states/eV/f.u. Its crystal system is tetragonal. The formation energy from the elements is -3.38 eV/f.u. Its total magnetization is 0.000 Bohr magnetons per cell.

It has space group P-4m2 (No. 115), with a = 4.122 Å, b = 4.122 Å, c = 9.772 Å, α = 90.00°, β = 90.00° and γ = 90.00°. The inequivalent atoms are Ce at (0.000, 0.500, 0.248), Be at (0.000, 0.500, 0.876), Be at (0.500, 0.500, 0.500), Ge at (0.000, 0.000, 0.000), Ge at (0.000, 0.500, 0.640), Ge at (0.500, 0.500, 0.000) and Os at (0.000, 0.000, 0.500).

***

Entry 17:
Material: CeBeGe2Os2
Method: DFT, PBE
State: relaxed

As for the final energy: -7.16 eV/atom. The calculation puts the density of states at the Fermi level at 7.03 states/eV/f.u. Its crystal system is tetragonal. The formation energy from the elements is -1.63 eV/f.u. Its total magnetization is 0.774 Bohr magnetons per cell.

It has space group P4/mmm (No. 123), with a = 4.297 Å, b = 4.297 Å, c = 5.452 Å, α = 90.00°, β = 90.00° and γ = 90.00°. The inequivalent atoms are Ce at (0.000, 0.000, 0.000), Be at (0.000, 0.000, 0.500), Ge at (0.500, 0.500, 0.232) and Os at (0.000, 0.500, 0.500).

***

Entry 18:
Material: Ce2Be4Ge3Os
Method: DFT, PBE
State: relaxed

As for the final energy: -5.54 eV/atom. The calculation puts the density of states at the Fermi level at 9.31 states/eV/f.u. Its crystal system is tetragonal. The formation energy from the elements is -3.52 eV/f.u. Its total magnetization is 0.687 Bohr magnetons per cell.

It has space group P-4m2 (No. 115), with a = 3.977 Å, b = 3.977 Å, c = 9.827 Å, α = 90.00°, β = 90.00° and γ = 90.00°. The inequivalent atoms are Ce at (0.000, 0.500, 0.248), Be at (0.000, 0.000, 0.500), Be at (0.000, 0.500, 0.873), Be at (0.500, 0.500, 0.500), Ge at (0.000, 0.000, 0.000), Ge at (0.000, 0.500, 0.631) and Os at (0.500, 0.500, 0.000).

***

Entry 19:
Material: CeBe2GePd2
Method: DFT, PBE
State: relaxed

As for the final energy: -4.90 eV/atom. The calculation puts the density of states at the Fermi level at 6.83 states/eV/f.u. Its crystal system is tetragonal. The formation energy from the elements is -1.01 eV/f.u. Its total magnetization is 0.851 Bohr magnetons per cell.

It has space group P4/mmm (No. 123), with a = 4.213 Å, b = 4.213 Å, c = 5.702 Å, α = 90.00°, β = 90.00° and γ = 90.00°. The inequivalent atoms are Ce at (0.000, 0.000, 0.000), Be at (0.000, 0.500, 0.500), Ge at (0.000, 0.000, 0.500) and Pd at (0.500, 0.500, 0.250).

***

Entry 20:
Material: Ce2Be3Ge4Pd
Method: DFT, PBE
State: relaxed

As for the final energy: -5.16 eV/atom. The calculation puts the density of states at the Fermi level at 8.65 states/eV/f.u. Its crystal system is tetragonal. The formation energy from the elements is -4.85 eV/f.u. Its total magnetization is 0.749 Bohr magnetons per cell.

It has space group P-4m2 (No. 115), with a = 4.159 Å, b = 4.159 Å, c = 9.705 Å, α = 90.00°, β = 90.00° and γ = 90.00°. The inequivalent atoms are Ce at (0.000, 0.500, 0.245), Be at (0.000, 0.500, 0.877), Be at (0.500, 0.500, 0.500), Ge at (0.000, 0.000, 0.000), Ge at (0.000, 0.500, 0.644), Ge at (0.500, 0.500, 0.000) and Pd at (0.000, 0.000, 0.500).